[1]
Here is a geometry-optimized PmPr4Mg5 structure from Alexandria. Energies are from PBE-GGA.

CIF file:
```
data_PmPr4Mg5
_symmetry_space_group_name_H-M 'P 4/m m m'
_symmetry_Int_Tables_number 123
_symmetry_space_group_name_Hall '-P 4 2'
_cell_length_a 3.9008
_cell_length_b 3.9008
_cell_length_c 19.5619
_cell_angle_alpha 90.00
_cell_angle_beta 90.00
_cell_angle_gamma 90.00
loop_
_atom_site_label
_atom_site_type_symbol
_atom_site_fract_x
_atom_site_fract_y
_atom_site_fract_z
Pm1 Pm 0.0000 0.0000 0.0000
Pr1 Pr 0.0000 0.0000 0.1980
Pr2 Pr 0.0000 0.0000 0.3992
Mg1 Mg 0.5000 0.5000 0.0979
Mg2 Mg 0.5000 0.5000 0.2981
Mg3 Mg 0.5000 0.5000 0.5000
```

Summary:
Crystal system = tetragonal
DFT formation energy = -11.0 kJ per mole of atoms
Spin magnetization = 0.000 μB/atom

---

[2]
Here is a geometry-optimized Mn2ZnSe structure from Alexandria. Energies are from PBE-GGA.

CIF file:
```
data_Mn2ZnSe
_symmetry_space_group_name_H-M 'F m -3 m'
_symmetry_Int_Tables_number 225
_symmetry_space_group_name_Hall '-F 4 2 3'
_cell_length_a 5.9031
_cell_length_b 5.9031
_cell_length_c 5.9031
_cell_angle_alpha 90.00
_cell_angle_beta 90.00
_cell_angle_gamma 90.00
loop_
_atom_site_label
_atom_site_type_symbol
_atom_site_fract_x
_atom_site_fract_y
_atom_site_fract_z
Mn1 Mn 0.2500 0.2500 0.2500
Zn1 Zn 0.0000 0.0000 0.0000
Se1 Se 0.0000 0.0000 0.5000
```

Summary:
Crystal system = cubic
Formation energy from raw total energies = 374 meV/atom
Spin magnetization = 0.581 μB/atom